# 1
A plane-wave DFT calculation with PBE was carried out for crystalline PrSnAs2Rh5 at its relaxed geometry.

## Properties
Energy relative to the elements ... -0.5246 eV per atom
Density ... 8.50 g/cm3

a = 4.1402 Å, b = 4.1402 Å, c = 10.5304 Å
α = 90.00°, β = 90.00°, γ = 90.00°
Closest atoms and distances in Å follow each position.
Space group P4/mmm (No. 123)
Inequivalent atoms, fractional coordinates:
Pr  0.0000  0.0000  0.0000 x1  4 Rh 2.93
Sn  0.0000  0.0000  0.5000 x1  8 Rh 2.68
As  0.5000  0.5000  0.2252 x2  5 Rh 2.37-2.39
Rh  0.0000  0.5000  0.3391 x4  2 As 2.39, 2 Sn 2.68
Rh  0.5000  0.5000  0.0000 x1  2 As 2.37



# 2
A plane-wave DFT calculation with PBE was carried out for crystalline Pr3SnAs2Rh9 at its relaxed geometry.

## Properties
Energy relative to the elements ... -0.4297 eV per atom
Density ... 8.33 g/cm3

a = 6.2936 Å, b = 6.2936 Å, c = 9.4049 Å
α = 90.00°, β = 90.00°, γ = 120.00°
Closest atoms and distances in Å follow each position.
Space group P-3m1 (No. 164)
Inequivalent atoms, fractional coordinates:
Pr  0.0000  0.0000  0.0000 x1  12 Rh 2.99-3.15
Pr  0.3333  0.6667  0.7222 x2  9 Rh 3.16-3.18
Sn  0.0000  0.0000  0.5000 x1  6 Rh 2.66
As  0.3333  0.6667  0.1673 x2  6 Rh 2.30-2.40
Rh  0.0000  0.5000  0.0000 x3  2 As 2.40
Rh  0.1427  0.2854  0.2711 x6  1 As 2.30



# 3
A plane-wave DFT calculation with PBE was carried out for crystalline Sr2PrAs3Rh4 at its relaxed geometry.

## Properties
Energy relative to the elements ... -0.7814 eV per atom
Density ... 7.61 g/cm3

a = 4.2768 Å, b = 4.2768 Å, c = 11.3587 Å
α = 90.00°, β = 90.00°, γ = 90.00°
Closest atoms and distances in Å follow each position.
Space group P-4m2 (No. 115)
Inequivalent atoms, fractional coordinates:
Sr  0.0000  0.5000  0.2291 x2  4 As 3.26, 8 Rh 3.26-3.37
Pr  0.0000  0.0000  0.5000 x1  4 Rh 2.83, 4 As 3.02
As  0.0000  0.5000  0.8776 x2  5 Rh 2.44-2.55
As  0.5000  0.5000  0.5000 x1  4 Rh 2.83, 4 Pr 3.02
Rh  0.0000  0.0000  0.0000 x1  4 As 2.55
Rh  0.0000  0.5000  0.6627 x2  1 As 2.44
Rh  0.5000  0.5000  0.0000 x1  4 As 2.55



# 4
A plane-wave DFT calculation with PBE was carried out for crystalline Pr2TaAs4Rh3 at its relaxed geometry.

## Properties
Energy relative to the elements ... -0.8316 eV per atom
Density ... 9.21 g/cm3

a = 4.3186 Å, b = 4.3186 Å, c = 10.3557 Å
α = 90.00°, β = 90.00°, γ = 90.00°
Closest atoms and distances in Å follow each position.
Space group P-4m2 (No. 115)
Inequivalent atoms, fractional coordinates:
Pr  0.0000  0.5000  0.2326 x2  8 As 3.23-3.32, 6 Rh 3.27-3.51, 2 Ta 3.51
Ta  0.0000  0.0000  0.5000 x1  4 As 2.61
As  0.0000  0.0000  0.0000 x1  4 Rh 2.49
As  0.0000  0.5000  0.6413 x2  3 Rh 2.48-2.61, 2 Ta 2.61
As  0.5000  0.5000  0.0000 x1  4 Rh 2.49
Rh  0.0000  0.5000  0.8808 x2  5 As 2.48-2.49
Rh  0.5000  0.5000  0.5000 x1  4 As 2.61



# 5
A plane-wave DFT calculation with PBE was carried out for crystalline TbPr2As4Rh3 at its relaxed geometry.

## Properties
Energy relative to the elements ... -0.9689 eV per atom
Density ... 8.42 g/cm3

a = 4.3554 Å, b = 4.3554 Å, c = 10.9040 Å
α = 90.00°, β = 90.00°, γ = 90.00°
Closest atoms and distances in Å follow each position.
Space group P-4m2 (No. 115)
Inequivalent atoms, fractional coordinates:
Tb  0.0000  0.0000  0.0000 x1  4 As 2.81, 4 Rh 3.08
Pr  0.0000  0.5000  0.7212 x2  8 As 3.25-3.33, 5 Rh 3.32-3.59
As  0.0000  0.0000  0.5000 x1  4 Rh 2.48
As  0.0000  0.5000  0.1634 x2  1 Rh 2.49
As  0.5000  0.5000  0.5000 x1  4 Rh 2.48
Rh  0.0000  0.5000  0.3918 x2  5 As 2.48-2.49
Rh  0.5000  0.5000  0.0000 x1  4 As 2.81, 4 Tb 3.08



# 6
A plane-wave DFT calculation with PBE was carried out for crystalline TbPr2As3Rh12 at its relaxed geometry.

## Properties
Energy relative to the elements ... -0.2668 eV per atom
Density ... 9.94 g/cm3

a = 9.2003 Å, b = 9.2003 Å, c = 12.9928 Å
α = 90.00°, β = 90.00°, γ = 120.00°
Closest atoms and distances in Å follow each position.
Space group R-3m (No. 166, hexagonal axes)
Inequivalent atoms, fractional coordinates:
Tb  0.0000  0.0000  0.0000 x3  6 Rh 2.69
Pr  0.0000  0.0000  0.3568 x6  3 Rh 2.63
As  0.0000  0.5000  0.5000 x9  2 Rh 2.37
Rh  0.0035  0.5017  0.3172 x18  1 As 2.37, 1 Pr 2.63, 1 Rh 2.63
Rh  0.0137  0.5068  0.8849 x18  1 Rh 2.63, 2 As 2.69



# 7
A plane-wave DFT calculation with PBE was carried out for crystalline TbPrAs2Rh5 at its relaxed geometry.

## Properties
Energy relative to the elements ... -0.7295 eV per atom
Density ... 9.83 g/cm3

a = 4.2811 Å, b = 4.2811 Å, c = 8.8834 Å
α = 90.00°, β = 90.00°, γ = 90.00°
Closest atoms and distances in Å follow each position.
Space group P4/mmm (No. 123)
Inequivalent atoms, fractional coordinates:
Tb  0.0000  0.0000  0.0000 x1  8 Rh 3.16, 8 As 3.29
Pr  0.0000  0.0000  0.5000 x1  12 Rh 3.01-3.03
As  0.5000  0.5000  0.1461 x2  4 Rh 2.37, 1 As 2.60
Rh  0.0000  0.5000  0.2616 x4  2 As 2.37
Rh  0.5000  0.5000  0.5000 x1  8 Rh 3.01, 4 Pr 3.03, 2 As 3.14



# 8
A plane-wave DFT calculation with PBE was carried out for crystalline TbPr2As3Rh4 at its relaxed geometry.

## Properties
Energy relative to the elements ... -0.9556 eV per atom
Density ... 9.03 g/cm3

a = 4.1612 Å, b = 4.1612 Å, c = 11.4408 Å
α = 90.00°, β = 90.00°, γ = 90.00°
Closest atoms and distances in Å follow each position.
Space group P-4m2 (No. 115)
Inequivalent atoms, fractional coordinates:
Tb  0.0000  0.0000  0.0000 x1  4 Rh 2.77, 4 As 2.94
Pr  0.0000  0.5000  0.7253 x2  4 As 3.15, 8 Rh 3.22-3.31
As  0.0000  0.5000  0.3729 x2  5 Rh 2.44-2.54
As  0.5000  0.5000  0.0000 x1  4 Rh 2.77, 4 Tb 2.94
Rh  0.0000  0.0000  0.5000 x1  4 As 2.54
Rh  0.0000  0.5000  0.1594 x2  1 As 2.44
Rh  0.5000  0.5000  0.5000 x1  4 As 2.54



Q: The lowest density belongs to which entry?
A: Sr2PrAs3Rh4



What did the seventh record say?
A plane-wave DFT calculation with PBE was carried out for crystalline TbPrAs2Rh5 at its relaxed geometry.

## Properties
Energy relative to the elements ... -0.7295 eV per atom
Density ... 9.83 g/cm3

a = 4.2811 Å, b = 4.2811 Å, c = 8.8834 Å
α = 90.00°, β = 90.00°, γ = 90.00°
Closest atoms and distances in Å follow each position.
Space group P4/mmm (No. 123)
Inequivalent atoms, fractional coordinates:
Tb  0.0000  0.0000  0.0000 x1  8 Rh 3.16, 8 As 3.29
Pr  0.0000  0.0000  0.5000 x1  12 Rh 3.01-3.03
As  0.5000  0.5000  0.1461 x2  4 Rh 2.37, 1 As 2.60
Rh  0.0000  0.5000  0.2616 x4  2 As 2.37
Rh  0.5000  0.5000  0.5000 x1  8 Rh 3.01, 4 Pr 3.03, 2 As 3.14



Q: Among the records above, which one has the highest density?
A: TbPr2As3Rh12